Record 1
Below is a relaxed structure of TaTl2S, with properties calculated at the PBE level.

Output
Energy above the most stable polymorph in this dataset, eV/atom: 0.273

Cell lengths 5.0739, 5.0739, 5.0739 Å; angles 60.00, 60.00, 60.00 degrees
Fractional coordinates of all 4 atoms:
Ta 0.0000 0.0000 0.0000
Tl 0.2500 0.2500 0.2500
Tl 0.7500 0.7500 0.7500
S 0.5000 0.5000 0.5000



Record 2
Below is a relaxed structure of Ta2TlS6, with properties calculated at the PBE level.

Cell lengths 6.5265, 6.5265, 8.6542 Å; angles 111.49, 111.49, 42.61 degrees
Fractional coordinates of all 9 atoms:
Ta 0.1872 0.1872 0.1324
Ta 0.8128 0.8128 0.8676
Tl 0.0000 0.0000 0.5000
S 0.0098 0.0098 0.1739
S 0.3049 0.3049 0.9447
S 0.3200 0.3200 0.3980
S 0.6800 0.6800 0.6020
S 0.6951 0.6951 0.0553
S 0.9902 0.9902 0.8261



Record 3
Below is a relaxed structure of TaTl4S4, with properties calculated at the PBE level.

Cell lengths 8.3488, 8.3488, 8.4007 Å; angles 90.00, 90.00, 90.00 degrees
Fractional coordinates of all 18 atoms:
Ta 0.2500 0.7500 0.2500
Ta 0.7500 0.2500 0.7500
Tl 0.0079 0.7500 0.6205
Tl 0.2500 0.5079 0.8795
Tl 0.2500 0.9921 0.8795
Tl 0.4921 0.7500 0.6205
Tl 0.5079 0.2500 0.3795
Tl 0.7500 0.0079 0.1205
Tl 0.7500 0.4921 0.1205
Tl 0.9921 0.2500 0.3795
S 0.0314 0.7500 0.0830
S 0.2500 0.5314 0.4170
S 0.2500 0.9686 0.4170
S 0.4686 0.7500 0.0830
S 0.5314 0.2500 0.9170
S 0.7500 0.0314 0.5830
S 0.7500 0.4686 0.5830
S 0.9686 0.2500 0.9170



Record 4
Below is a relaxed structure of Ta4Tl2S7, with properties calculated at the PBE level.

Cell lengths 5.9826, 5.9830, 8.0928 Å; angles 90.08, 90.15, 109.40 degrees
Fractional coordinates of all 13 atoms:
Ta 0.0031 0.0030 0.1888
Ta 0.2794 0.7205 0.9999
Ta 0.7206 0.2795 0.0001
Ta 0.9969 0.9970 0.8112
Tl 0.3287 0.6721 0.5005
Tl 0.6713 0.3279 0.4995
S 0.0000 0.0000 0.5000
S 0.0482 0.4129 0.7982
S 0.3426 0.3425 0.1274
S 0.4129 0.0487 0.7983
S 0.5871 0.9513 0.2017
S 0.6574 0.6575 0.8726
S 0.9518 0.5871 0.2018



Record 5
Below is a relaxed structure of Ta3Tl2S8, with properties calculated at the PBE level.

Cell lengths 8.5974, 8.5974, 6.1865 Å; angles 104.12, 104.12, 48.46 degrees
Fractional coordinates of all 13 atoms:
Ta 0.0000 0.0000 0.0000
Ta 0.2661 0.7339 0.5000
Ta 0.7339 0.2661 0.5000
Tl 0.2554 0.2554 0.8333
Tl 0.7446 0.7446 0.1667
S 0.0937 0.0937 0.3901
S 0.1496 0.6671 0.1119
S 0.3329 0.8504 0.8881
S 0.3984 0.3984 0.5621
S 0.6016 0.6016 0.4379
S 0.6671 0.1496 0.1119
S 0.8504 0.3329 0.8881
S 0.9063 0.9063 0.6099



Record 6
Below is a relaxed structure of TaTlS3, with properties calculated at the PBE level.

Output
Energy above the most stable polymorph in this dataset, eV/atom: 0.573

Cell lengths 8.6983, 8.6983, 8.6983 Å; angles 143.22, 143.22, 53.00 degrees
Fractional coordinates of all 10 atoms:
Ta 0.0000 0.0000 0.0000
Ta 0.7500 0.2500 0.5000
Tl 0.3859 0.3859 0.0000
Tl 0.6141 0.6141 0.0000
S 0.0296 0.5296 0.5000
S 0.3542 0.1455 0.2087
S 0.4704 0.9704 0.5000
S 0.8545 0.0632 0.2087
S 0.8545 0.6458 0.7913
S 0.9368 0.1455 0.7913



Record 7
Below is a relaxed structure of Ta6TlS12, with properties calculated at the PBE level.

Cell lengths 7.5048, 7.5048, 7.5048 Å; angles 104.20, 104.20, 104.20 degrees
Fractional coordinates of all 19 atoms:
Ta 0.2466 0.2466 0.6347
Ta 0.2466 0.6347 0.2466
Ta 0.3653 0.7534 0.7534
Ta 0.6347 0.2466 0.2466
Ta 0.7534 0.3653 0.7534
Ta 0.7534 0.7534 0.3653
Tl 0.0000 0.0000 0.0000
S 0.1267 0.5000 0.8733
S 0.1267 0.8733 0.5000
S 0.1760 0.4593 0.4593
S 0.4593 0.1760 0.4593
S 0.4593 0.4593 0.1760
S 0.5000 0.1267 0.8733
S 0.5000 0.8733 0.1267
S 0.5407 0.5407 0.8240
S 0.5407 0.8240 0.5407
S 0.8240 0.5407 0.5407
S 0.8733 0.1267 0.5000
S 0.8733 0.5000 0.1267



Record 8
Below is a relaxed structure of Ta4TlS8, with properties calculated at the PBE level.

Output
Energy above the most stable polymorph in this dataset, eV/atom: 0.000

Cell lengths 9.1006, 9.1006, 9.1006 Å; angles 43.58, 43.58, 43.58 degrees
Fractional coordinates of all 13 atoms:
Ta 0.0000 0.0000 0.0000
Ta 0.0000 0.5000 0.5000
Ta 0.5000 0.0000 0.5000
Ta 0.5000 0.5000 0.0000
Tl 0.5000 0.5000 0.5000
S 0.2290 0.2290 0.7297
S 0.2290 0.7297 0.2290
S 0.2703 0.7710 0.7710
S 0.2709 0.2709 0.2709
S 0.7291 0.7291 0.7291
S 0.7297 0.2290 0.2290
S 0.7710 0.2703 0.7710
S 0.7710 0.7710 0.2703



Record 9
Below is a relaxed structure of Tm3TaTl3S8, with properties calculated at the PBE level.

Cell lengths 8.8819, 8.8819, 8.8819 Å; angles 51.25, 51.25, 51.25 degrees
Fractional coordinates of all 15 atoms:
Tm 0.0000 0.5000 0.5000
Tm 0.5000 0.0000 0.5000
Tm 0.5000 0.5000 0.0000
Ta 0.0000 0.0000 0.0000
Tl 0.0000 0.0000 0.5000
Tl 0.0000 0.5000 0.0000
Tl 0.5000 0.0000 0.0000
S 0.2177 0.2177 0.7527
S 0.2177 0.7527 0.2177
S 0.2473 0.7823 0.7823
S 0.2680 0.2680 0.2680
S 0.7320 0.7320 0.7320
S 0.7527 0.2177 0.2177
S 0.7823 0.2473 0.7823
S 0.7823 0.7823 0.2473



Record 10
Below is a relaxed structure of UTa2Tl2S6, with properties calculated at the PBE level.

Cell lengths 6.0749, 6.0749, 8.2714 Å; angles 96.20, 96.20, 118.02 degrees
Fractional coordinates of all 11 atoms:
U 0.0000 0.0000 0.0000
Ta 0.3518 0.6482 0.0000
Ta 0.6482 0.3518 0.0000
Tl 0.1694 0.8306 0.5000
Tl 0.8306 0.1694 0.5000
S 0.0530 0.4060 0.1843
S 0.2826 0.2826 0.8000
S 0.4060 0.0530 0.1843
S 0.5940 0.9470 0.8157
S 0.7174 0.7174 0.2000
S 0.9470 0.5940 0.8157



Record 11
Below is a relaxed structure of U3TaTl3S8, with properties calculated at the PBE level.

Cell lengths 9.0312, 9.0312, 9.0312 Å; angles 50.06, 50.06, 50.06 degrees
Fractional coordinates of all 15 atoms:
U 0.0000 0.5000 0.5000
U 0.5000 0.0000 0.5000
U 0.5000 0.5000 0.0000
Ta 0.0000 0.0000 0.0000
Tl 0.0000 0.0000 0.5000
Tl 0.0000 0.5000 0.0000
Tl 0.5000 0.0000 0.0000
S 0.2175 0.2175 0.7553
S 0.2175 0.7553 0.2175
S 0.2447 0.7825 0.7825
S 0.2654 0.2654 0.2654
S 0.7346 0.7346 0.7346
S 0.7553 0.2175 0.2175
S 0.7825 0.2447 0.7825
S 0.7825 0.7825 0.2447



Record 12
Below is a relaxed structure of UTa2TlS8, with properties calculated at the PBE level.

Cell lengths 10.0495, 10.0495, 10.0495 Å; angles 37.77, 37.77, 37.77 degrees
Fractional coordinates of all 12 atoms:
U 0.0000 0.0000 0.0000
Ta 0.2557 0.2557 0.2557
Ta 0.7443 0.7443 0.7443
Tl 0.5000 0.5000 0.5000
S 0.0660 0.7250 0.3767
S 0.1771 0.1771 0.1771
S 0.2750 0.6233 0.9340
S 0.3767 0.0660 0.7250
S 0.6233 0.9340 0.2750
S 0.7250 0.3767 0.0660
S 0.8229 0.8229 0.8229
S 0.9340 0.2750 0.6233



Record 13
Below is a relaxed structure of TaTl2V2S6, with properties calculated at the PBE level.

Cell lengths 5.8555, 5.8555, 8.1795 Å; angles 95.32, 95.32, 120.41 degrees
Fractional coordinates of all 11 atoms:
Ta 0.0000 0.0000 0.0000
Tl 0.1692 0.8308 0.5000
Tl 0.8308 0.1692 0.5000
V 0.3625 0.6375 0.0000
V 0.6375 0.3625 0.0000
S 0.0436 0.3928 0.1717
S 0.2831 0.2831 0.8048
S 0.3928 0.0436 0.1717
S 0.6072 0.9564 0.8283
S 0.7169 0.7169 0.1952
S 0.9564 0.6072 0.8283



Record 14
Below is a relaxed structure of Ta2Tl2VS6, with properties calculated at the PBE level.

Cell lengths 5.8664, 5.8664, 8.6083 Å; angles 97.46, 97.46, 120.00 degrees
Fractional coordinates of all 11 atoms:
Ta 0.1675 0.8325 0.0000
Ta 0.8325 0.1675 0.0000
Tl 0.3310 0.6690 0.5000
Tl 0.6690 0.3310 0.5000
V 0.5000 0.5000 0.0000
S 0.1035 0.4310 0.8191
S 0.2415 0.2415 0.1797
S 0.4310 0.1035 0.8191
S 0.5690 0.8965 0.1809
S 0.7585 0.7585 0.8203
S 0.8965 0.5690 0.1809



Record 15
Below is a relaxed structure of TaTl6VS8, with properties calculated at the PBE level.

Cell lengths 7.7330, 7.7330, 7.7330 Å; angles 90.00, 90.00, 90.00 degrees
Fractional coordinates of all 16 atoms:
Ta 0.0000 0.0000 0.0000
Tl 0.0000 0.0000 0.5000
Tl 0.0000 0.5000 0.0000
Tl 0.0000 0.5000 0.5000
Tl 0.5000 0.0000 0.0000
Tl 0.5000 0.0000 0.5000
Tl 0.5000 0.5000 0.0000
V 0.5000 0.5000 0.5000
S 0.1708 0.1708 0.1708
S 0.1708 0.8292 0.8292
S 0.3380 0.3380 0.6620
S 0.3380 0.6620 0.3380
S 0.6620 0.3380 0.3380
S 0.6620 0.6620 0.6620
S 0.8292 0.1708 0.8292
S 0.8292 0.8292 0.1708



Record 16
Below is a relaxed structure of TaTl3V2S6, with properties calculated at the PBE level.

Cell lengths 5.8919, 5.8919, 8.3283 Å; angles 90.29, 90.29, 120.80 degrees
Fractional coordinates of all 12 atoms:
Ta 0.0000 0.0000 0.0000
Tl 0.0000 0.0000 0.5000
Tl 0.3298 0.6702 0.5000
Tl 0.6702 0.3298 0.5000
V 0.3636 0.6364 0.0000
V 0.6364 0.3636 0.0000
S 0.0027 0.6554 0.1655
S 0.3374 0.3374 0.1870
S 0.3446 0.9973 0.8345
S 0.6554 0.0027 0.1655
S 0.6626 0.6626 0.8130
S 0.9973 0.3446 0.8345



Record 17
Below is a relaxed structure of Tm2TaS6, with properties calculated at the PBE level.

Cell lengths 6.1627, 6.1627, 11.5395 Å; angles 90.00, 90.00, 90.00 degrees
Fractional coordinates of all 18 atoms:
Tm 0.0000 0.0000 0.1697
Tm 0.0000 0.0000 0.8303
Tm 0.5000 0.5000 0.3303
Tm 0.5000 0.5000 0.6697
Ta 0.0000 0.0000 0.5000
Ta 0.5000 0.5000 0.0000
S 0.1937 0.1937 0.3489
S 0.1937 0.1937 0.6511
S 0.2139 0.2139 0.0000
S 0.2861 0.7139 0.5000
S 0.3063 0.6937 0.1511
S 0.3063 0.6937 0.8489
S 0.6937 0.3063 0.1511
S 0.6937 0.3063 0.8489
S 0.7139 0.2861 0.5000
S 0.7861 0.7861 0.0000
S 0.8063 0.8063 0.3489
S 0.8063 0.8063 0.6511



Record 18
Below is a relaxed structure of TmTa2S5, with properties calculated at the PBE level.

Cell lengths 6.6205, 6.6205, 6.6550 Å; angles 90.33, 90.33, 130.23 degrees
Fractional coordinates of all 8 atoms:
Tm 0.0000 0.0000 0.0000
Ta 0.2927 0.7073 0.0000
Ta 0.7073 0.2927 0.0000
S 0.0096 0.6675 0.7587
S 0.3325 0.9904 0.2413
S 0.5000 0.5000 0.0000
S 0.6675 0.0096 0.7587
S 0.9904 0.3325 0.2413



Record 19
Below is a relaxed structure of TmTa4S8, with properties calculated at the PBE level.

Cell lengths 7.6145, 7.6145, 7.6145 Å; angles 53.02, 53.02, 53.02 degrees
Fractional coordinates of all 13 atoms:
Tm 0.0000 0.0000 0.0000
Ta 0.0000 0.0000 0.5000
Ta 0.0000 0.5000 0.0000
Ta 0.5000 0.0000 0.0000
Ta 0.5000 0.5000 0.5000
S 0.2445 0.2445 0.2445
S 0.2549 0.7421 0.7421
S 0.2579 0.2579 0.7451
S 0.2579 0.7451 0.2579
S 0.7421 0.2549 0.7421
S 0.7421 0.7421 0.2549
S 0.7451 0.2579 0.2579
S 0.7555 0.7555 0.7555



Record 20
Below is a relaxed structure of TmTa2S6, with properties calculated at the PBE level.

Cell lengths 6.2887, 6.2887, 8.3151 Å; angles 114.93, 114.93, 44.87 degrees
Fractional coordinates of all 9 atoms:
Tm 0.0000 0.0000 0.0000
Ta 0.1906 0.1906 0.5809
Ta 0.8094 0.8094 0.4191
S 0.0187 0.0187 0.6924
S 0.3084 0.3084 0.3992
S 0.3523 0.3523 0.8894
S 0.6477 0.6477 0.1106
S 0.6916 0.6916 0.6008
S 0.9813 0.9813 0.3076



| no. | DOS at the Fermi energy (states/eV per cell) | formation energy from raw total energies (meV/atom) |
| --- | --- | --- |
| 1 | 4.067 | 980 |
| 2 | 1.801 | -653 |
| 3 | 9.722 | -521 |
| 4 | 3.269 | -621 |
| 5 | 2.598 | -816 |
| 6 | 3.358 | -220 |
| 7 | 14.505 | -543 |
| 8 | 5.085 | -979 |
| 9 | 4.349 | -1350 |
| 10 | 6.870 | -924 |
| 11 | 14.630 | -1002 |
| 12 | 1.552 | -805 |
| 13 | 6.586 | -783 |
| 14 | 6.404 | -814 |
| 15 | 0.000 | -646 |
| 16 | 4.783 | -732 |
| 17 | 11.805 | -1319 |
| 18 | 2.707 | -1086 |
| 19 | 5.612 | -1163 |
| 20 | 0.723 | -1104 |